Record 1
A plane-wave DFT calculation with PBE was carried out for a geometry-optimized TaCd2Ni structure.

Space group: C2/m, No. 12
Polymorph energy (0 for the lowest one): 234 meV per atom
Energy of formation from the pure elements: 0.27 eV/atom

Cell: 5.7880 5.7880 4.8110 Å, 114.48 114.48 28.51°
Last column: nearest neighbours and their distance in Å.
Fractional coordinates of all 4 atoms:
Ta1 0.0000 0.0000 0.0000  4 Ni 2.80, 2 Ta 2.85
Cd1 0.2225 0.2225 0.7226  2 Ni 2.67, 6 Cd 2.85
Cd2 0.7775 0.7775 0.2774  2 Ni 2.67, 6 Cd 2.85
Ni1 0.5000 0.5000 0.5000  4 Cd 2.67, 4 Ta 2.80, 2 Ni 2.85


Record 2
A plane-wave DFT calculation with PBE was carried out for a geometry-optimized Cu2RhSe structure.

ΔE_f (raw): 156 meV/atom
Space group: Cmmm, No. 65

Cell: 4.3976 4.3976 3.1955 Å, 90.00 90.00 111.00°
Last column: nearest neighbours and their distance in Å.
Fractional coordinates of all 4 atoms:
Cu1 0.0000 0.5000 0.0000  2 Cu 2.49, 4 Se 2.72, 4 Rh 2.72
Cu2 0.5000 0.0000 0.0000  2 Cu 2.49, 4 Se 2.72, 4 Rh 2.72
Rh1 0.0000 0.0000 0.5000  2 Se 2.49, 8 Cu 2.72
Se1 0.5000 0.5000 0.5000  2 Rh 2.49, 8 Cu 2.72


Record 3
A plane-wave DFT calculation with PBE was carried out for a geometry-optimized SmNpAl2Ga5 structure.

Space group: P4/mmm, No. 123
Energy of formation from the pure elements: -0.24 eV/atom

Cell: 4.2405 4.2405 9.9963 Å, 90.00 90.00 90.00°
Last column: nearest neighbours and their distance in Å.
Fractional coordinates of all 9 atoms:
Sm1 0.0000 0.0000 0.0000  12 Ga 3.00-3.11
Np1 0.0000 0.0000 0.5000  8 Al 3.24, 8 Ga 3.45
Al1 0.5000 0.5000 0.3783  1 Al 2.43, 4 Ga 2.60
Al2 0.5000 0.5000 0.6217  1 Al 2.43, 4 Ga 2.60
Ga1 0.0000 0.5000 0.2278  2 Al 2.60
Ga2 0.0000 0.5000 0.7722  2 Al 2.60
Ga3 0.5000 0.0000 0.2278  2 Al 2.60
Ga4 0.5000 0.0000 0.7722  2 Al 2.60
Ga5 0.5000 0.5000 0.0000  4 Sm 3.00, 8 Ga 3.11


Record 4
A plane-wave DFT calculation with PBE was carried out for a geometry-optimized TmGa2F8 structure.

ΔE_f (raw): -2951 meV/atom
Space group: C2/m, No. 12
Polymorph energy (0 for the lowest one): 0 meV per atom

Cell: 5.6464 5.6464 5.1860 Å, 95.64 95.64 78.52°
Last column: nearest neighbours and their distance in Å.
Fractional coordinates of all 11 atoms:
Tm1 0.0000 0.0000 0.0000  6 F 2.15
Ga1 0.4165 0.4165 0.7414  5 F 1.92-2.03
Ga2 0.5835 0.5835 0.2586  5 F 1.92-2.03
F1 0.1455 0.6880 0.7510  1 Ga 1.94, 1 Tm 2.15
F2 0.2079 0.2079 0.8176  1 Ga 1.92
F3 0.3120 0.8545 0.2490  1 Ga 1.94, 1 Tm 2.15
F4 0.3696 0.3696 0.3705  2 Ga 1.92-2.03
F5 0.6304 0.6304 0.6295  2 Ga 1.92-2.03
F6 0.6880 0.1455 0.7510  1 Ga 1.94, 1 Tm 2.15
F7 0.7921 0.7921 0.1824  1 Ga 1.92
F8 0.8545 0.3120 0.2490  1 Ga 1.94, 1 Tm 2.15


Record 5
A plane-wave DFT calculation with PBE was carried out for a geometry-optimized Tl2CdSb structure.

ΔE_f (raw): 66 meV/atom
Space group: R3m, No. 160
Polymorph energy (0 for the lowest one): 60 meV per atom

Cell: 11.1064 11.1064 11.1064 Å, 18.01 18.01 18.01°
Last column: nearest neighbours and their distance in Å.
Fractional coordinates of all 4 atoms:
Tl1 0.0000 0.0000 0.0000  3 Cd 3.29, 9 Tl 3.48-3.64
Tl2 0.2406 0.2406 0.2406  3 Sb 3.46, 9 Tl 3.48-3.64
Cd1 0.7463 0.7463 0.7463  3 Sb 3.17, 3 Tl 3.29, 6 Cd 3.48
Sb1 0.4879 0.4879 0.4879  3 Cd 3.17, 3 Tl 3.46, 6 Sb 3.48


Record 6
A plane-wave DFT calculation with PBE was carried out for a geometry-optimized PmErU structure.

Space group: C2/m, No. 12
Energy of formation from the pure elements: 0.24 eV/atom

Cell: 8.6510 8.6510 5.8395 Å, 99.65 99.65 24.25°
Last column: nearest neighbours and their distance in Å.
Fractional coordinates of all 6 atoms:
Pm1 0.1140 0.1140 0.3157  3 U 3.33-3.46, 6 Er 3.49-3.59, 2 Pm 3.63
Pm2 0.8860 0.8860 0.6843  3 U 3.33-3.46, 6 Er 3.49-3.59, 2 Pm 3.63
Er1 0.4283 0.4283 0.2012  3 U 3.36-3.48, 6 Pm 3.49-3.59, 3 Er 3.63-3.66
Er2 0.5717 0.5717 0.7988  3 U 3.36-3.48, 6 Pm 3.49-3.59, 3 Er 3.63-3.66
U1 0.2405 0.2405 0.8490  2 U 2.51
U2 0.7595 0.7595 0.1510  2 U 2.51


Record 7
A plane-wave DFT calculation with PBE was carried out for a geometry-optimized Na3BeCo structure.

Space group: Pm-3m, No. 221
Polymorph energy (0 for the lowest one): 0 meV per atom
Energy of formation from the pure elements: 1.18 eV/atom

Cell: 5.2804 5.2804 5.2804 Å, 90.00 90.00 90.00°
Last column: nearest neighbours and their distance in Å.
Fractional coordinates of all 5 atoms:
Na1 0.0000 0.0000 0.5000  2 Be 2.64
Na2 0.0000 0.5000 0.0000  2 Be 2.64
Na3 0.5000 0.0000 0.0000  2 Be 2.64
Be1 0.0000 0.0000 0.0000  6 Na 2.64
Co1 0.5000 0.5000 0.5000  12 Na 3.73


Record 8
A plane-wave DFT calculation with PBE was carried out for a geometry-optimized LiErNiPd structure.

Space group: F-43m, No. 216
Energy of formation from the pure elements: -0.42 eV/atom

Cell: 4.5766 4.5766 4.5766 Å, 60.00 60.00 60.00°
Last column: nearest neighbours and their distance in Å.
Fractional coordinates of all 4 atoms:
Li1 0.0000 0.0000 0.0000  4 Ni 2.80, 4 Pd 2.80
Er1 0.5000 0.5000 0.5000  4 Pd 2.80, 4 Ni 2.80
Ni1 0.7500 0.7500 0.7500  4 Er 2.80, 4 Li 2.80
Pd1 0.2500 0.2500 0.2500  4 Er 2.80, 4 Li 2.80


Record 9
A plane-wave DFT calculation with PBE was carried out for a geometry-optimized FeGeRu2N structure.

ΔE_f (raw): 2047 meV/atom
Space group: P4/mmm, No. 123

Cell: 4.3985 4.3985 4.3875 Å, 90.00 90.00 90.00°
Last column: nearest neighbours and their distance in Å.
Fractional coordinates of all 5 atoms:
Fe1 0.0000 0.0000 0.0000  2 Ge 2.19, 4 Ru 2.20
Ge1 0.0000 0.0000 0.5000  2 Fe 2.19
Ru1 0.0000 0.5000 0.0000  2 Fe 2.20
Ru2 0.5000 0.0000 0.0000  2 Fe 2.20
N1 0.5000 0.5000 0.5000  8 Ru 3.11, 4 Ge 3.11


Record 10
A plane-wave DFT calculation with PBE was carried out for a geometry-optimized H3OsO structure.

Space group: Pm-3m, No. 221
Polymorph energy (0 for the lowest one): 0 meV per atom

Cell: 3.4244 3.4244 3.4244 Å, 90.00 90.00 90.00°
Last column: nearest neighbours and their distance in Å.
Fractional coordinates of all 5 atoms:
H1 0.0000 0.0000 0.5000  2 Os 1.71
H2 0.0000 0.5000 0.0000  2 Os 1.71
H3 0.5000 0.0000 0.0000  2 Os 1.71
Os1 0.0000 0.0000 0.0000  6 H 1.71
O1 0.5000 0.5000 0.5000  12 H 2.42


Record 11
A plane-wave DFT calculation with PBE was carried out for a geometry-optimized ThTlAs2 structure.

Space group: R-3m, No. 166
Polymorph energy (0 for the lowest one): 54 meV per atom
Energy of formation from the pure elements: -0.55 eV/atom

Cell: 7.5384 7.5384 7.5384 Å, 33.71 33.71 33.71°
Last column: nearest neighbours and their distance in Å.
Fractional coordinates of all 4 atoms:
Th1 0.0000 0.0000 0.0000  6 As 2.97
Tl1 0.5000 0.5000 0.5000  6 As 3.21
As1 0.2597 0.2597 0.2597  3 Th 2.97, 3 Tl 3.21
As2 0.7403 0.7403 0.7403  3 Th 2.97, 3 Tl 3.21


Record 12
A plane-wave DFT calculation with PBE was carried out for a geometry-optimized CeGa2S6 structure.

ΔE_f (raw): -698 meV/atom
Space group: C2/c, No. 15

Cell: 8.6495 8.6495 6.8428 Å, 95.70 95.70 74.86°
Last column: nearest neighbours and their distance in Å.
Fractional coordinates of all 18 atoms:
Ce1 0.1239 0.8761 0.7500  6 S 2.73-2.80
Ce2 0.8761 0.1239 0.2500  6 S 2.73-2.80
Ga1 0.1856 0.3400 0.6311  4 S 2.27-2.33
Ga2 0.3400 0.1856 0.1311  4 S 2.27-2.33
Ga3 0.6600 0.8144 0.8689  4 S 2.27-2.33
Ga4 0.8144 0.6600 0.3689  4 S 2.27-2.33
S1 0.0130 0.1803 0.6185  1 Ga 2.27
S2 0.0703 0.5771 0.7991  1 Ga 2.28
S3 0.1803 0.0130 0.1185  1 Ga 2.27
S4 0.2294 0.4112 0.3257  2 Ga 2.29-2.33
S5 0.4112 0.2294 0.8257  2 Ga 2.29-2.33
S6 0.4229 0.9297 0.7009  1 Ga 2.28
S7 0.5771 0.0703 0.2991  1 Ga 2.28
S8 0.5888 0.7706 0.1743  2 Ga 2.29-2.33
S9 0.7706 0.5888 0.6743  2 Ga 2.29-2.33
S10 0.8197 0.9870 0.8815  1 Ga 2.27
S11 0.9297 0.4229 0.2009  1 Ga 2.28
S12 0.9870 0.8197 0.3815  1 Ga 2.27


What mass density values result from the calculations? In sequence: 11.09, 8.89, 7.30, 4.76, 9.33, 10.33, 1.54, 8.31, 6.74, 8.65, 8.28, 3.20 g/cm3.